Entry A
Below is an optimized crystal structure of V2Fe2Ni7, with properties calculated at the PBE-GGA level.

Calculated values
M_tot (μB per formula unit): 5.9
V (Å³/cell): 133.8

a b c (Å): 4.316 5.666 5.666
angles (deg): 80.26 98.71 98.71
Site moments in Bohr magnetons follow the coordinates.
Positions (direct):
V1 0.238 0.252 0.252  -0.58
V2 0.762 0.748 0.748  -0.58
Fe1 0.000 0.199 0.801  2.70
Fe2 0.000 0.801 0.199  2.70
Ni1 0.734 0.041 0.397  0.26
Ni2 0.266 0.603 0.959  0.26
Ni3 0.266 0.959 0.603  0.26
Ni4 0.734 0.397 0.041  0.26
Ni5 0.500 0.000 0.000  0.32
Ni6 0.272 0.547 0.547  0.25
Ni7 0.728 0.453 0.453  0.25

***

Entry B
Below is an optimized crystal structure of V2Fe2Ni7, with properties calculated at the PBE-GGA level.

Calculated values
M_tot (μB per formula unit): 5.5
V (Å³/cell): 129.2

a b c (Å): 3.944 5.585 6.788
angles (deg): 114.29 106.89 90.00
Site moments in Bohr magnetons follow the coordinates.
Positions (direct):
V1 0.298 0.922 0.597  -0.41
V2 0.702 0.325 0.403  -0.41
Fe1 0.000 0.620 0.000  2.51
Fe2 0.500 0.336 0.000  2.43
Ni1 0.139 0.050 0.278  0.14
Ni2 0.143 0.483 0.286  0.20
Ni3 0.500 0.904 0.000  0.43
Ni4 0.334 0.457 0.669  0.25
Ni5 0.666 0.788 0.331  0.25
Ni6 0.861 0.772 0.722  0.14
Ni7 0.857 0.197 0.714  0.20

***

Ordering by calculated energy gives the sequence entry B, entry A, with the first entry being the most stable.

***

Entry A
Below is an optimized crystal structure of VFe3Ni, with properties calculated at the PBE-GGA level.

Calculated values
M_tot (μB per formula unit): 6.2
V (Å³/cell): 235.0

a b c (Å): 8.085 4.755 8.657
angles (deg): 44.92 90.00 90.00
Site moments in Bohr magnetons follow the coordinates.
Positions (direct):
V1 0.124 0.511 0.745  -1.09
V2 0.876 0.489 0.255  -1.09
V3 0.624 0.489 0.755  -1.09
V4 0.376 0.511 0.245  -1.09
Fe1 0.871 0.902 0.656  2.23
Fe2 0.129 0.098 0.344  2.23
Fe3 0.371 0.098 0.844  2.23
Fe4 0.629 0.902 0.156  2.23
Fe5 0.377 0.701 0.450  2.40
Fe6 0.623 0.299 0.550  2.40
Fe7 0.877 0.299 0.050  2.40
Fe8 0.123 0.701 0.950  2.40
Fe9 0.122 0.902 0.147  2.26
Fe10 0.878 0.098 0.853  2.26
Fe11 0.622 0.098 0.353  2.26
Fe12 0.378 0.902 0.647  2.26
Ni1 0.874 0.702 0.456  0.62
Ni2 0.126 0.298 0.544  0.62
Ni3 0.374 0.298 0.044  0.62
Ni4 0.626 0.702 0.956  0.62

***

Entry B
Below is an optimized crystal structure of VFe3Ni, with properties calculated at the PBE-GGA level.

Calculated values
M_tot (μB per formula unit): 5.1
V (Å³/cell): 73.5

a b c (Å): 4.189 4.189 4.189
angles (deg): 90.00 90.00 90.00
Site moments in Bohr magnetons follow the coordinates.
Positions (direct):
Ni1 0.500 0.500 0.500  0.55
Fe1 0.000 0.500 0.000  1.91
Fe2 0.000 0.000 0.500  1.91
Fe3 0.500 0.000 0.000  1.91
V1 0.000 0.000 0.000  -1.06

***

Entry C
Below is an optimized crystal structure of VFe3Ni, with properties calculated at the PBE-GGA level.

Calculated values
M_tot (μB per formula unit): 6.1
V (Å³/cell): 79.3

a b c (Å): 4.296 4.296 4.296
angles (deg): 90.00 90.00 90.00
Site moments in Bohr magnetons follow the coordinates.
Positions (direct):
Ni1 0.000 0.000 0.000  0.82
Fe1 0.000 0.500 0.000  2.85
Fe2 0.000 0.000 0.500  2.85
Fe3 0.500 0.000 0.000  2.85
V1 0.500 0.500 0.500  -2.61

***

Ordering by calculated energy gives the sequence entry A, entry C, entry B, with the first entry being the most stable.

***

Entry A
Below is an optimized crystal structure of V2FeNi6, with properties calculated at the PBE-GGA level.

Calculated values
M_tot (μB per formula unit): 1.3
V (Å³/cell): 101.3

a b c (Å): 3.499 5.653 5.687
angles (deg): 107.81 107.92 90.00
Site moments in Bohr magnetons follow the coordinates.
Positions (direct):
V1 0.941 0.180 0.883  -0.39
V2 0.059 0.820 0.117  -0.39
Fe1 0.500 0.500 0.000  1.53
Ni1 0.392 0.835 0.784  0.10
Ni2 0.608 0.165 0.216  0.10
Ni3 0.722 0.833 0.445  0.12
Ni4 0.167 0.502 0.334  0.13
Ni5 0.278 0.167 0.555  0.12
Ni6 0.833 0.498 0.666  0.13

***

Entry B
Below is an optimized crystal structure of V2FeNi6, with properties calculated at the PBE-GGA level.

Calculated values
M_tot (μB per formula unit): 3.6
V (Å³/cell): 106.5

a b c (Å): 2.442 6.466 7.067
angles (deg): 103.33 90.00 100.89
Site moments in Bohr magnetons follow the coordinates.
Positions (direct):
V1 0.833 0.666 0.925  -0.13
V2 0.167 0.334 0.075  -0.13
Fe1 0.000 0.000 0.500  2.62
Ni1 0.999 0.998 0.828  0.15
Ni2 0.827 0.654 0.270  0.13
Ni3 0.173 0.346 0.730  0.13
Ni4 0.661 0.323 0.408  0.39
Ni5 0.339 0.677 0.592  0.39
Ni6 0.001 0.002 0.172  0.15

***

Ordering by calculated energy gives the sequence entry A, entry B, with the first entry being the most stable.

***

Entry A
Below is an optimized crystal structure of V2FeNi8, with properties calculated at the PBE-GGA level.

Calculated values
M_tot (μB per formula unit): 3.1
V (Å³/cell): 129.4

a b c (Å): 3.487 7.189 6.528
angles (deg): 123.41 105.49 90.00
Site moments in Bohr magnetons follow the coordinates.
Positions (direct):
V1 0.157 0.657 0.314  -0.25
V2 0.843 0.343 0.686  -0.25
Fe1 0.500 0.000 0.000  2.69
Ni1 0.663 0.911 0.327  0.13
Ni2 0.337 0.584 0.673  0.13
Ni3 0.174 0.174 0.348  0.16
Ni4 0.000 0.249 0.000  0.15
Ni5 0.826 0.826 0.652  0.16
Ni6 0.663 0.416 0.327  0.13
Ni7 0.337 0.089 0.673  0.13
Ni8 0.000 0.751 0.000  0.15

***

Entry B
Below is an optimized crystal structure of V2FeNi8, with properties calculated at the PBE-GGA level.

Calculated values
M_tot (μB per formula unit): 3.6
V (Å³/cell): 131.1

a b c (Å): 4.361 6.543 6.981
angles (deg): 62.06 71.78 48.16
Site moments in Bohr magnetons follow the coordinates.
Positions (direct):
V1 0.000 0.317 0.365  -0.23
V2 0.000 0.683 0.635  -0.23
Fe1 0.500 0.000 0.000  3.12
Ni1 0.764 0.103 0.271  0.08
Ni2 0.764 0.373 0.729  0.08
Ni3 0.248 0.498 0.000  0.20
Ni4 0.500 0.804 0.393  0.20
Ni5 0.500 0.196 0.607  0.20
Ni6 0.752 0.502 0.000  0.20
Ni7 0.236 0.627 0.271  0.08
Ni8 0.236 0.897 0.729  0.08

***

Ordering by calculated energy gives the sequence entry A, entry B, with the first entry being the most stable.